CaPrCdRh | GGA-PBE | relaxed

Output
Its space group is F-43m, No. 216. Its formation enthalpy at 0 K is -0.3627 eV/atom.

Lattice parameters (Å, degrees): 5.189 5.189 5.189 60.00 60.00 60.00
Fractional coordinates of all 4 atoms:
1 Rh 0.250 0.250 0.250
2 Pr 0.500 0.500 0.500
3 Cd 0.750 0.750 0.750
4 Ca 0.000 0.000 0.000

=====

DyCu6Pd | GGA-PBE | relaxed

Output
Its space group is Pm-3, No. 200. Its formation enthalpy at 0 K is -0.0048 eV/atom.

Lattice parameters (Å, degrees): 4.891 4.891 4.891 90.00 90.00 90.00
Fractional coordinates of all 8 atoms:
1 Pd 0.500 0.500 0.500
2 Cu 0.500 0.258 0.000
3 Cu 0.258 0.000 0.500
4 Cu 0.000 0.500 0.258
5 Cu 0.000 0.500 0.742
6 Cu 0.500 0.742 0.000
7 Dy 0.000 0.000 0.000
8 Cu 0.742 0.000 0.500

=====

Number 1: magnetization 0.00 μB per formula unit. Number 2: magnetization 0.00 μB per formula unit.